<a>
This record from Alexandria describes crystalline Cs2Te2Cl at its relaxed geometry. The functional is PBE.

The structure belongs to space group I4/mmm (No. 139); the cell edges are 4.487, 4.487 and 20.721 Å and the angles 90.00°, 90.00° and 90.00°. The asymmetric unit holds Cs at (0.000, 0.000, 0.096), Te at (0.000, 0.500, 0.250) and Cl at (0.000, 0.000, 0.500).

The calculation puts the volume at 417.2 Å³/cell. As for the density of states at the Fermi level: 0.04 states/eV/atom.

---

<b>
This record from Alexandria describes crystalline Cs2Te2Cl at its relaxed geometry. The functional is PBE.

The structure belongs to space group I4/mmm (No. 139); the cell edges are 7.324, 7.324 and 9.628 Å and the angles 90.00°, 90.00° and 90.00°. The asymmetric unit holds Cs at (0.000, 0.500, 0.250), Te at (0.000, 0.000, 0.141) and Cl at (0.000, 0.000, 0.500).

The calculation puts the volume at 516.5 Å³/cell. As for the density of states at the Fermi level: 0.84 states/eV/atom.

---

Verdict on stability: <a> comes out on top.

---

<a>
This record from Alexandria describes crystalline CsTeCl2 at its relaxed geometry. The functional is PBE.

The structure belongs to space group I-42d (No. 122); the cell edges are 5.978, 5.978 and 18.401 Å and the angles 90.00°, 90.00° and 90.00°. The asymmetric unit holds Cs at (0.000, 0.000, 0.000), Te at (0.000, 0.000, 0.500) and Cl at (0.138, 0.250, 0.625).

The calculation puts the volume at 657.6 Å³/cell. As for the density of states at the Fermi level: 0.56 states/eV/atom.

---

<b>
This record from Alexandria describes crystalline CsTeCl2 at its relaxed geometry. The functional is PBE.

The structure belongs to space group R-3m (No. 166, hexagonal axes); the cell edges are 3.8069, 3.8069 and 32.5854 Å and the angles 90.00°, 90.00° and 120.00°. The asymmetric unit holds Cs at (0.0000, 0.0000, 0.0000), Te at (0.0000, 0.0000, 0.5000) and Cl at (0.0000, 0.0000, 0.0927).

The calculation puts the volume at 409.0 Å³/cell. As for the density of states at the Fermi level: 1.00 states/eV/atom.

---

<c>
This record from Alexandria describes crystalline CsTeCl2 at its relaxed geometry. The functional is PBE.

The structure belongs to space group R-3m (No. 166, hexagonal axes); the cell edges are 4.9190, 4.9190 and 26.9544 Å and the angles 90.00°, 90.00° and 120.00°. The asymmetric unit holds Cs at (0.0000, 0.0000, 0.0000), Te at (0.0000, 0.0000, 0.5000) and Cl at (0.0000, 0.0000, 0.4036).

The calculation puts the volume at 564.8 Å³/cell. As for the density of states at the Fermi level: 0.42 states/eV/atom.

---

Verdict on stability: <c> comes out on top.

---

<a>
This record from Alexandria describes crystalline CsTi2Cl8 at its relaxed geometry. The functional is PBE.

The structure belongs to space group P4/mmm (No. 123); the cell edges are 6.143, 6.143 and 8.508 Å and the angles 90.00°, 90.00° and 90.00°. The asymmetric unit holds Cs at (0.000, 0.000, 0.000), Ti at (0.000, 0.500, 0.500) and Cl at (0.251, 0.251, 0.328).

The calculation puts the volume at 321.0 Å³/cell. As for the density of states at the Fermi level: 0.65 states/eV/atom.

---

<b>
This record from Alexandria describes crystalline CsTi2Cl8 at its relaxed geometry. The functional is PBE.

The structure belongs to space group C2/m (No. 12); the cell edges are 14.792, 8.554 and 7.177 Å and the angles 90.00°, 90.04° and 90.00°. The asymmetric unit holds Cs at (0.000, 0.000, 0.000), Ti at (0.167, 0.500, 0.203), Cl at (0.095, 0.287, 0.306), Cl at (0.167, 0.500, 0.894) and Cl at (0.191, 0.000, 0.693).

The calculation puts the volume at 908.1 Å³/cell. As for the density of states at the Fermi level: 0.85 states/eV/atom.

---

Verdict on stability: <b> comes out on top.

---

<a>
This record from Alexandria describes crystalline CsTiCl4 at its relaxed geometry. The functional is PBE.

The structure belongs to space group Cmcm (No. 63); the cell edges are 4.996, 19.315 and 7.458 Å and the angles 90.00°, 90.00° and 90.00°. The asymmetric unit holds Cs at (0.000, 0.115, 0.250), Ti at (0.000, 0.407, 0.250), Cl at (0.000, 0.081, 0.750), Cl at (0.000, 0.323, 0.028) and Cl at (0.000, 0.500, 0.000).

The calculation puts the volume at 719.7 Å³/cell. As for the density of states at the Fermi level: 0.70 states/eV/atom.

---

<b>
This record from Alexandria describes crystalline CsTiCl4 at its relaxed geometry. The functional is PBE.

The structure belongs to space group C2/c (No. 15); the cell edges are 9.435, 13.606 and 7.529 Å and the angles 90.00°, 112.01° and 90.00°. The asymmetric unit holds Cs at (0.000, 0.154, 0.250), Ti at (0.000, 0.500, 0.250), Cl at (0.004, 0.378, 0.504) and Cl at (0.232, 0.005, 0.624).

The calculation puts the volume at 896.1 Å³/cell. As for the density of states at the Fermi level: 0.27 states/eV/atom.

---

Verdict on stability: <b> comes out on top.

---

<a>
This record from Alexandria describes crystalline Cs2TlCl at its relaxed geometry. The functional is PBE.

The structure belongs to space group P4/mmm (No. 123); the cell edges are 4.180, 4.180 and 10.203 Å and the angles 90.00°, 90.00° and 90.00°. The asymmetric unit holds Cs at (0.000, 0.000, 0.203), Tl at (0.500, 0.500, 0.500) and Cl at (0.500, 0.500, 0.000).

The calculation puts the volume at 178.2 Å³/cell. As for the density of states at the Fermi level: 0.78 states/eV/atom.

---

<b>
This record from Alexandria describes crystalline Cs2TlCl at its relaxed geometry. The functional is PBE.

The structure belongs to space group R-3m (No. 166, hexagonal axes); the cell edges are 4.5653, 4.5653 and 36.2150 Å and the angles 90.00°, 90.00° and 120.00°. The asymmetric unit holds Cs at (0.0000, 0.0000, 0.1053), Tl at (0.0000, 0.0000, 0.0000) and Cl at (0.0000, 0.0000, 0.5000).

The calculation puts the volume at 653.7 Å³/cell. As for the density of states at the Fermi level: 0.67 states/eV/atom.

---

<c>
This record from Alexandria describes crystalline Cs2TlCl at its relaxed geometry. The functional is PBE.

The structure belongs to space group I-42d (No. 122); the cell edges are 9.962, 9.962 and 9.261 Å and the angles 90.00°, 90.00° and 90.00°. The asymmetric unit holds Cs at (0.186, 0.250, 0.125), Tl at (0.000, 0.000, 0.500) and Cl at (0.000, 0.000, 0.000).

The calculation puts the volume at 919.2 Å³/cell. As for the density of states at the Fermi level: 0.85 states/eV/atom.

---

<d>
This record from Alexandria describes crystalline Cs2TlCl at its relaxed geometry. The functional is PBE.

The structure belongs to space group Fm-3m (No. 225); the cell edges are 9.167, 9.167 and 9.167 Å and the angles 90.00°, 90.00° and 90.00°. The asymmetric unit holds Cs at (0.250, 0.250, 0.250), Tl at (0.000, 0.000, 0.000) and Cl at (0.000, 0.000, 0.500).

The calculation puts the volume at 770.2 Å³/cell. As for the density of states at the Fermi level: 1.76 states/eV/atom.

---

Verdict on stability: <a> comes out on top.

---

<a>
This record from Alexandria describes crystalline CsTl2Cl4 at its relaxed geometry. The functional is PBE.

The structure belongs to space group I4/mmm (No. 139); the cell edges are 6.437, 6.437 and 15.056 Å and the angles 90.00°, 90.00° and 90.00°. The asymmetric unit holds Cs at (0.000, 0.000, 0.000), Tl at (0.000, 0.000, 0.398), Cl at (0.000, 0.000, 0.229) and Cl at (0.000, 0.500, 0.000).

The calculation puts the volume at 623.9 Å³/cell. As for the density of states at the Fermi level: 0.71 states/eV/atom.

---

<b>
This record from Alexandria describes crystalline CsTl2Cl4 at its relaxed geometry. The functional is PBE.

The structure belongs to space group Cmcm (No. 63); the cell edges are 4.527, 14.042 and 15.336 Å and the angles 90.00°, 90.00° and 90.00°. The asymmetric unit holds Cs at (0.000, 0.114, 0.250), Tl at (0.000, 0.371, 0.067), Cl at (0.000, 0.000, 0.000), Cl at (0.000, 0.272, 0.604) and Cl at (0.000, 0.419, 0.250).

The calculation puts the volume at 974.9 Å³/cell. As for the density of states at the Fermi level: 0.55 states/eV/atom.

---

Verdict on stability: <b> comes out on top.

---

<a>
This record from Alexandria describes crystalline Cs2TlCl3 at its relaxed geometry. The functional is PBE.

The structure belongs to space group Cmcm (No. 63); the cell edges are 14.271, 8.697 and 8.544 Å and the angles 90.00°, 90.00° and 90.00°. The asymmetric unit holds Cs at (0.173, 0.174, 0.250), Tl at (0.000, 0.421, 0.750), Cl at (0.000, 0.093, 0.750) and Cl at (0.168, 0.500, 0.000).

The calculation puts the volume at 1060.5 Å³/cell. As for the density of states at the Fermi level: 0.00 states/eV/atom.

---

<b>
This record from Alexandria describes crystalline Cs2TlCl3 at its relaxed geometry. The functional is PBE.

The structure belongs to space group R-3c (No. 167, hexagonal axes); the cell edges are 8.2076, 8.2076 and 25.0978 Å and the angles 90.00°, 90.00° and 120.00°. The asymmetric unit holds Cs at (0.0000, 0.0000, 0.1691), Tl at (0.0000, 0.0000, 0.0000) and Cl at (0.0000, 0.3550, 0.2500).

The calculation puts the volume at 1464.2 Å³/cell. As for the density of states at the Fermi level: 0.00 states/eV/atom.

---

Verdict on stability: <b> comes out on top.

---

<a>
This record from Alexandria describes crystalline CsTl2Cl8 at its relaxed geometry. The functional is PBE.

The structure belongs to space group C2/m (No. 12); the cell edges are 14.872, 6.326 and 9.360 Å and the angles 90.00°, 111.36° and 90.00°. The asymmetric unit holds Cs at (0.000, 0.000, 0.000), Tl at (0.211, 0.000, 0.666), Cl at (0.108, 0.267, 0.735), Cl at (0.124, 0.500, 0.147) and Cl at (0.192, 0.000, 0.395).

The calculation puts the volume at 820.1 Å³/cell. As for the density of states at the Fermi level: 0.49 states/eV/atom.

---

<b>
This record from Alexandria describes crystalline CsTl2Cl8 at its relaxed geometry. The functional is PBE.

The structure belongs to space group P4/mmm (No. 123); the cell edges are 6.550, 6.550 and 8.696 Å and the angles 90.00°, 90.00° and 90.00°. The asymmetric unit holds Cs at (0.000, 0.000, 0.000), Tl at (0.000, 0.500, 0.500) and Cl at (0.252, 0.252, 0.312).

The calculation puts the volume at 373.1 Å³/cell. As for the density of states at the Fermi level: 0.72 states/eV/atom.

---

Verdict on stability: <a> comes out on top.

---

<a>
This record from Alexandria describes crystalline Cs3TlCl4 at its relaxed geometry. The functional is PBE.

The structure belongs to space group P2/c (No. 13); the cell edges are 8.486, 9.823 and 8.493 Å and the angles 90.00°, 109.55° and 90.00°. The asymmetric unit holds Cs at (0.000, 0.123, 0.250), Cs at (0.000, 0.370, 0.750), Cs at (0.500, 0.373, 0.250), Tl at (0.500, 0.119, 0.750), Cl at (0.253, 0.368, 0.507) and Cl at (0.268, 0.114, 0.999).

The calculation puts the volume at 667.2 Å³/cell. As for the density of states at the Fermi level: 0.00 states/eV/atom.

---

<b>
This record from Alexandria describes crystalline Cs3TlCl4 at its relaxed geometry. The functional is PBE.

The structure belongs to space group Pmn2_1 (No. 31); the cell edges are 11.759, 9.997 and 6.962 Å and the angles 90.00°, 90.00° and 90.00°. The asymmetric unit holds Cs at (0.000, 0.156, 0.000), Cs at (0.246, 0.329, 0.500), Tl at (0.000, 0.825, 0.489), Cl at (0.000, 0.141, 0.500), Cl at (0.000, 0.822, 0.056) and Cl at (0.241, 0.676, 0.500).

The calculation puts the volume at 818.4 Å³/cell. As for the density of states at the Fermi level: 0.00 states/eV/atom.

---

Verdict on stability: <a> comes out on top.

---

<a>
This record from Alexandria describes crystalline CsTl2Cl at its relaxed geometry. The functional is PBE.

The structure belongs to space group Fm-3m (No. 225); the cell edges are 8.475, 8.475 and 8.475 Å and the angles 90.00°, 90.00° and 90.00°. The asymmetric unit holds Cs at (0.000, 0.000, 0.000), Tl at (0.250, 0.250, 0.250) and Cl at (0.000, 0.000, 0.500).

The calculation puts the volume at 608.7 Å³/cell. As for the density of states at the Fermi level: 1.47 states/eV/atom.

---

<b>
This record from Alexandria describes crystalline CsTl2Cl at its relaxed geometry. The functional is PBE.

The structure belongs to space group I-42d (No. 122); the cell edges are 4.685, 4.685 and 31.256 Å and the angles 90.00°, 90.00° and 90.00°. The asymmetric unit holds Cs at (0.000, 0.000, 0.000), Tl at (0.243, 0.250, 0.625) and Cl at (0.000, 0.000, 0.500).

The calculation puts the volume at 686.0 Å³/cell. As for the density of states at the Fermi level: 0.52 states/eV/atom.

---

Verdict on stability: <b> comes out on top.